# 1
Entry from Alexandria via LeMat-Bulk: ScTi4Al6 after structural relaxation (GGA-PBE).

**Formation energy from the elements**: 170 meV per atom
**Spin magnetization**: 0.00 μB per formula unit
**SG**: I-42m (121)

Unit cell a=6.9013 b=6.9013 c=6.9013 alpha=86.69 beta=121.93 gamma=121.93
With the nearest neighbours (Å) after each atom.
Atoms (fractional coordinates):
Sc: 0.0000 0.0000 0.0000  4 Al 2.92
Ti: 0.0000 0.2605 0.5486  6 Al 2.69-2.74, 3 Ti 2.72-2.73
Ti: 0.7118 0.4514 0.4514  6 Al 2.69-2.74, 3 Ti 2.72-2.73
Ti: 0.0000 0.5486 0.2605  6 Al 2.69-2.74, 3 Ti 2.72-2.73
Ti: 0.2882 0.7395 0.7395  6 Al 2.69-2.74, 3 Ti 2.72-2.73
Al: 0.0000 0.9011 0.4171  4 Ti 2.69-2.74, 2 Al 2.86, 1 Sc 2.92
Al: 0.0000 0.4171 0.9011  4 Ti 2.69-2.74, 2 Al 2.86, 1 Sc 2.92
Al: 0.5160 0.0989 0.0989  4 Ti 2.69-2.74, 2 Al 2.86, 1 Sc 2.92
Al: 0.5000 0.0000 0.5000  4 Ti 2.74, 4 Al 2.86
Al: 0.4840 0.5829 0.5829  4 Ti 2.69-2.74, 2 Al 2.86, 1 Sc 2.92
Al: 0.5000 0.5000 0.0000  4 Ti 2.74, 4 Al 2.86

# 2
Entry from Alexandria via LeMat-Bulk: ScTiAl after structural relaxation (GGA-PBE).

**Formation energy from the elements**: -169 meV per atom
**Spin magnetization**: 0.00 μB per formula unit
**SG**: P2_1/m (11)
**Polymorph energy (0 for the lowest one)**: 83 meV per atom

Unit cell a=2.8910 b=4.4312 c=8.8033 alpha=89.99 beta=99.44 gamma=90.00
With the nearest neighbours (Å) after each atom.
Atoms (fractional coordinates):
Sc: 0.1998 0.2500 0.8988  1 Ti 2.79, 2 Sc 2.89, 4 Al 3.08
Sc: 0.8002 0.7500 0.1012  1 Ti 2.79, 2 Sc 2.89, 4 Al 3.08
Ti: 0.0389 0.2500 0.5775  4 Ti 2.59-2.89, 1 Sc 2.79
Ti: 0.9611 0.7500 0.4225  4 Ti 2.59-2.89, 1 Sc 2.79
Al: 0.3915 0.2500 0.2838  2 Al 2.89, 6 Ti 2.91-2.93, 4 Sc 3.08
Al: 0.6085 0.7500 0.7162  2 Al 2.89, 6 Ti 2.91-2.93, 4 Sc 3.08